# 1
The following is a DFT calculation (GGA-PBE) of a relaxed NbBiPS2 crystal.

Lattice parameters (Å, degrees): 4.7190 4.7190 5.1576 90.00 90.00 90.00
Fractional coordinates of all 5 atoms:
P 0.0000 0.0000 0.5000
S 0.0000 0.5000 0.0000
S 0.5000 0.0000 0.0000
Nb 0.0000 0.0000 0.0000
Bi 0.5000 0.5000 0.5000

Density in g/cm³: 5.74
SG: P4/mmm, No. 123
Raw formation energy in eV/atom: -0.044
VASP energy in eV/atom: -5.57


# 2
The following is a DFT calculation (GGA-PBE) of a relaxed La8Co3NiI4 crystal.

Lattice parameters (Å, degrees): 8.2289 9.5217 8.3358 115.90 119.58 90.00
Fractional coordinates of all 16 atoms:
Co 0.5000 0.5000 0.5000
Co 0.0000 0.5000 0.5000
Co 0.5000 0.5000 0.0000
La 0.7311 0.6829 0.4623
La 0.7674 0.3185 0.5349
La 0.2326 0.6815 0.4651
La 0.7657 0.3180 0.0427
La 0.2343 0.6820 0.9573
La 0.2770 0.3180 0.0427
La 0.2689 0.3171 0.5377
La 0.7230 0.6820 0.9573
I 0.5000 0.0000 0.5000
I 0.5000 0.0000 0.0000
I 0.0000 0.0000 0.5000
I 0.0000 0.0000 0.0000
Ni 0.0000 0.5000 0.0000

Density in g/cm³: 6.27
SG: C2/m, No. 12
Raw formation energy in eV/atom: -0.704
VASP energy in eV/atom: -5.25